No. 1
Entry from Alexandria: crystalline LaTlSn2H at its relaxed geometry (PBE-GGA).

Values from the calculation:
Total DFT energy (no corrections), eV/atom: -4.01

abc: 4.942 4.942 4.783
angles: 90.00 90.00 90.00
Fractional coordinates of all 5 atoms:
La 0.000 0.000 0.000
Tl 0.500 0.500 0.000
Sn 0.000 0.500 0.500
Sn 0.500 0.000 0.500
H 0.000 0.000 0.500

No. 2
Entry from Alexandria: crystalline Tb3DyEr2Bi6 at its relaxed geometry (PBE-GGA).

Values from the calculation:
Formation energy, meV/atom: -854

abc: 9.995 9.995 8.942
angles: 102.85 102.85 25.85
Fractional coordinates of all 12 atoms:
Tb 0.000 0.000 0.000
Tb 0.334 0.334 0.667
Tb 0.666 0.666 0.333
Dy 0.000 0.000 0.500
Er 0.333 0.333 0.167
Er 0.667 0.667 0.833
Bi 0.167 0.167 0.081
Bi 0.167 0.167 0.585
Bi 0.499 0.499 0.250
Bi 0.501 0.501 0.750
Bi 0.833 0.833 0.415
Bi 0.833 0.833 0.919

No. 3
Entry from Alexandria: crystalline La3EuMn at its relaxed geometry (PBE-GGA).

Values from the calculation:
Formation energy, meV/atom: 154

abc: 5.524 5.524 5.524
angles: 90.00 90.00 90.00
Fractional coordinates of all 5 atoms:
La 0.000 0.000 0.500
La 0.000 0.500 0.000
La 0.500 0.000 0.000
Eu 0.500 0.500 0.500
Mn 0.000 0.000 0.000